Density functional theory data (GGA-PBE) for a relaxed UZn2HO6 crystal.

Computed properties:
volume: 222.6 Å³/cell
total energy: -6.43 eV per atom
Fermi-level density of states: 0.8078 states/eV/atom

Geometry as extended XYZ:
```
20
Lattice="-5.4245 -0.0314 1.0330 -0.5785 -3.1227 -3.1326 1.2194 -6.4526 6.2071" Properties=species:S:1:pos:R:3 pbc="T T T"
U 0.3205 -4.7877 1.5372
U -2.7122 -0.0157 0.5165
Zn -5.7861 -4.3005 -0.9966
Zn -2.6086 -3.6564 0.9507
Zn -2.1750 -5.9503 3.1567
Zn 1.0026 -5.3063 5.1041
H -0.2892 -1.5614 -1.5663
H -2.1025 -3.2420 3.6200
O -3.9486 -5.1019 4.1685
O -4.9047 -0.8489 0.0814
O -4.3411 -3.0223 2.1700
O -3.7747 -3.4290 -0.7053
O -3.2157 -5.6283 1.3577
O -2.9481 -7.8043 3.5015
O -1.8355 -1.8024 0.6059
O -1.5678 -3.9784 2.7497
O -1.0088 -6.1777 4.8127
O 0.1212 -8.7579 4.0260
O -0.4424 -6.5844 1.9374
O -0.8349 -4.5049 -0.0611
```


Density functional theory data (GGA-PBE) for a relaxed YRuW2 crystal.

Computed properties:
volume: 72.5 Å³/cell
formation enthalpy at 0 K: 172.7 meV per atom
Fermi-level density of states: 0.9005 states/eV/atom
excess energy over the best structure of this formula in the dataset: 0 meV per atom

Geometry as extended XYZ:
```
4
Lattice="-0.7005 -3.0157 -0.9254 3.1247 -0.5334 -0.6271 0.9297 -2.2158 6.5167" Properties=species:S:1:pos:R:3 pbc="T T T"
Ru 1.9413 -3.5126 4.3353
W 0.0002 -0.0006 0.0016
W 1.4085 -2.2427 0.6006
Y 0.4686 -1.1169 3.2849
```


Density functional theory data (GGA-PBE) for a relaxed MgInAs2Se crystal.

Computed properties:
volume: 133.9 Å³/cell
uncorrected formation energy: 8.39 kcal/mol of atoms
Fermi-level density of states: 1.1544 states/eV/atom
excess energy over the best structure of this formula in the dataset: 0 meV per atom

Geometry as extended XYZ:
```
5
Lattice="5.0986 0.0000 0.0000 0.0000 5.0986 0.0000 0.0000 0.0000 5.1510" Properties=species:S:1:pos:R:3 pbc="T T T"
As 0.0000 2.5493 0.0000
As 2.5493 0.0000 0.0000
Mg 0.0000 0.0000 0.0000
Se 0.0000 0.0000 2.5755
In 2.5493 2.5493 2.5755
```


Density functional theory data (GGA-PBE) for a relaxed Ca2SmI6 crystal.

Computed properties:
volume: 407.8 Å³/cell
uncorrected formation energy: -33.83 kcal/mol of atoms
Fermi-level density of states: 0.3665 states/eV/atom

Geometry as extended XYZ:
```
9
Lattice="-2.4389 -2.0415 -2.9781 7.2892 2.4292 -4.4473 1.7998 -10.1213 5.4642" Properties=species:S:1:pos:R:3 pbc="T T T"
Ca 2.2961 -8.9591 1.0738
Ca 4.3544 -0.7743 -3.0350
Sm 0.8999 -5.0606 2.7321
I 5.3025 -8.0939 1.2059
I 1.3478 -1.6396 -3.1672
I 4.9243 -1.8841 -5.9287
I 1.5062 -6.1747 -0.1882
I 1.7259 -7.8494 3.9674
I 5.1439 -3.5588 -1.7731
```


Density functional theory data (GGA-PBE) for a relaxed Y2Hf4Ge crystal.

Computed properties:
volume: 202.4 Å³/cell
formation enthalpy at 0 K: 562.7 meV per atom
Fermi-level density of states: 1.5203 states/eV/atom

Geometry as extended XYZ:
```
7
Lattice="4.9358 0.0000 0.0000 0.0000 4.9358 0.0000 2.4679 2.4679 8.3069" Properties=species:S:1:pos:R:3 pbc="T T T"
Y 4.9358 4.9358 5.9182
Y 2.4679 2.4679 2.3887
Ge 0.0000 0.0000 0.0000
Hf 4.9358 4.9358 2.5128
Hf 2.4679 2.4679 5.7941
Hf 0.0000 2.4679 0.0000
Hf 2.4679 0.0000 0.0000
```


Density functional theory data (GGA-PBE) for a relaxed CeNbPd14 crystal.

Computed properties:
volume: 257.6 Å³/cell
formation enthalpy at 0 K: -334.7 meV per atom
Fermi-level density of states: 1.1431 states/eV/atom

Geometry as extended XYZ:
```
16
Lattice="-2.7868 2.0891 -4.5668 -3.5283 -4.5311 0.0800 -4.8593 3.8674 4.7343" Properties=species:S:1:pos:R:3 pbc="T T T"
Ce -4.7978 1.0179 0.6846
Nb -7.9553 -0.2031 -1.5588
Pd -5.5257 -2.1368 -3.9260
Pd -2.3681 -0.9158 -1.6825
Pd -6.1912 2.0624 -1.5988
Pd -3.7615 0.1288 -3.9660
Pd -6.5619 -1.2476 0.7246
Pd -4.1323 -3.1813 -1.6425
Pd -3.3964 1.7443 -1.6832
Pd -5.8204 3.6736 0.6785
Pd -3.7752 -1.6377 0.6907
Pd -6.1992 0.2915 3.0524
Pd -5.1984 -0.5702 -1.6418
Pd -7.6222 1.3589 0.7197
Pd -1.9734 0.6770 0.6496
Pd -4.3971 2.6060 3.0111
```